This record from Alexandria via LeMat-Bulk describes CuAu3 after structural relaxation. The functional is PBE.

For the density of states at the Fermi level, the calculation gives 0.572 states/eV per atom. As for the crystal system: cubic. The total energy is -2.678 eV/atom. For the formation enthalpy at 0 K, the calculation gives 0.8038 eV/atom. The total magnetization comes out at 0.000 μB/f.u.

Lattice parameters (Å, degrees): 4.8518 4.8518 4.8518 90.00 90.00 90.00
Sites, in units of the cell vectors:
1 Au 0.5000 0.0000 0.0000
2 Au 0.0000 0.5000 0.0000
3 Au 0.0000 0.0000 0.5000
4 Cu 0.0000 0.0000 0.0000